# YZr2Re GGA-PBE optimized geometry
data_YZr2Re
_chemical_formula_sum 'Y1 Zr2 Re1'
_cell_length_a 4.914
_cell_length_b 4.914
_cell_length_c 3.503
_cell_angle_alpha 90.00
_cell_angle_beta 90.00
_cell_angle_gamma 90.00
_space_group_name_H-M_alt 'P 4/m m m'
_space_group_IT_number 123
_space_group_name_Hall '-P 4 2'
loop_
_atom_site_label
_atom_site_type_symbol
_atom_site_fract_x
_atom_site_fract_y
_atom_site_fract_z
Y1 Y 0.000 0.000 0.000
Zr1 Zr 0.000 0.500 0.500
Re1 Re 0.500 0.500 0.000
# Energy of formation from the pure elements ... 20.98 kJ per mole of atoms
# Raw total energy ... -8.7847 eV per atom